(1)
{"formula": "SrY2TaAs", "functional": "PBE", "state": "relaxed", "cell": [[5.407, 0.000, 0.000], [0.000, 5.407, 0.000], [0.000, 0.000, 5.726]], "species": ["Sr", "Y", "Y", "Ta", "As"], "frac_coords": [[0.000, 0.000, 0.000], [0.000, 0.500, 0.500], [0.500, 0.000, 0.500], [0.500, 0.500, 0.000], [0.000, 0.000, 0.500]], "delta_e_f_ev_per_atom": 0.415, "n_ef_per_ev_atom": 0.854, "sg": "No. 123"}

=====

(2)
{"formula": "NdDy2Zr", "functional": "PBE", "state": "relaxed", "cell": [[0.000, 3.911, 3.911], [3.911, 0.000, 3.911], [3.911, 3.911, 0.000]], "species": ["Nd", "Dy", "Dy", "Zr"], "frac_coords": [[0.000, 0.000, 0.000], [0.250, 0.250, 0.250], [0.750, 0.750, 0.750], [0.500, 0.500, 0.500]], "delta_e_f_ev_per_atom": 0.231, "n_ef_per_ev_atom": 1.986, "relative_energy_mev_per_atom": 145.8, "sg": "No. 225"}

=====

(3)
{"formula": "Hf2ReH", "functional": "PBE", "state": "relaxed", "cell": [[1.611, 0.930, 6.760], [-1.611, 0.930, 6.760], [0.000, -1.861, 6.760]], "species": ["Hf", "Hf", "Re", "H"], "frac_coords": [[0.235, 0.235, 0.235], [0.765, 0.765, 0.765], [0.000, 0.000, 0.000], [0.500, 0.500, 0.500]], "n_ef_per_ev_atom": 0.682, "relative_energy_mev_per_atom": 0.0, "sg": "No. 166"}

=====

(4)
{"formula": "ZnNi2Bi", "functional": "PBE", "state": "relaxed", "cell": [[-3.483, 3.483, 2.781], [3.483, -3.483, 2.781], [3.483, 3.483, -2.781]], "species": ["Zn", "Zn", "Ni", "Ni", "Ni", "Ni", "Bi", "Bi"], "frac_coords": [[0.000, 0.000, 0.000], [0.750, 0.250, 0.500], [0.093, 0.125, 0.468], [0.375, 0.907, 0.032], [0.657, 0.625, 0.532], [0.875, 0.343, 0.968], [0.250, 0.750, 0.500], [0.500, 0.500, 0.000]], "delta_e_f_ev_per_atom": 0.313, "n_ef_per_ev_atom": 0.661, "relative_energy_mev_per_atom": 206.1, "sg": "No. 122"}